[1]
A crystal of Tl2NiAu relaxed with PBEsol, computed with SCAN.

For the mass density, the calculation gives 14.5 g/cm³. Its calculated formation energy is 0.32 eV per atom. As for the symmetry: C2/m, No. 12.

Unit cell a=4.744 b=4.434 c=7.329 alpha=90.00 beta=99.30 gamma=90.00
Sites, in units of the cell vectors:
Tl  0.000  0.000  0.223
Tl  0.000  0.000  0.777
Tl  0.500  0.500  0.223
Tl  0.500  0.500  0.777
Ni  0.000  0.500  0.000
Ni  0.500  0.000  0.000
Au  0.000  0.500  0.500
Au  0.500  0.000  0.500

[2]
A crystal of TlNi2Au relaxed with PBEsol, computed with SCAN.

For the mass density, the calculation gives 14.7 g/cm³. Its calculated formation energy is 0.20 eV per atom. As for the symmetry: P4/mmm, No. 123.

Unit cell a=4.083 b=4.083 c=3.509 alpha=90.00 beta=90.00 gamma=90.00
Sites, in units of the cell vectors:
Tl  0.000  0.000  0.000
Ni  0.000  0.500  0.500
Ni  0.500  0.000  0.500
Au  0.500  0.500  0.000

[3]
A crystal of TlNi2Au relaxed with PBEsol, computed with SCAN.

For the mass density, the calculation gives 14.6 g/cm³. Its calculated formation energy is 0.28 eV per atom. As for the symmetry: Imm2, No. 44.

Unit cell a=3.817 b=3.854 c=7.999 alpha=90.00 beta=90.00 gamma=90.00
Sites, in units of the cell vectors:
Tl  0.000  0.000  0.000
Tl  0.500  0.500  0.500
Ni  0.000  0.000  0.498
Ni  0.000  0.500  0.750
Ni  0.500  0.000  0.250
Ni  0.500  0.500  0.998
Au  0.000  0.500  0.249
Au  0.500  0.000  0.749

[4]
A crystal of TlNi2Au relaxed with PBEsol, computed with SCAN.

For the mass density, the calculation gives 14.3 g/cm³. Its calculated formation energy is 0.26 eV per atom. As for the symmetry: P4mm, No. 99.

Unit cell a=3.052 b=3.052 c=6.472 alpha=90.00 beta=90.00 gamma=90.00
Sites, in units of the cell vectors:
Tl  0.000  0.000  0.000
Ni  0.000  0.000  0.564
Ni  0.500  0.500  0.742
Au  0.500  0.500  0.331

[5]
A crystal of TlNiAu relaxed with PBEsol, computed with SCAN.

For the mass density, the calculation gives 13.8 g/cm³. Its calculated formation energy is 0.19 eV per atom. As for the symmetry: F-43m, No. 216.

Unit cell a=6.052 b=6.052 c=6.052 alpha=90.00 beta=90.00 gamma=90.00
Sites, in units of the cell vectors:
Tl  0.000  0.000  0.000
Tl  0.000  0.500  0.500
Tl  0.500  0.000  0.500
Tl  0.500  0.500  0.000
Ni  0.250  0.250  0.750
Ni  0.250  0.750  0.250
Ni  0.750  0.250  0.250
Ni  0.750  0.750  0.750
Au  0.000  0.000  0.500
Au  0.000  0.500  0.000
Au  0.500  0.000  0.000
Au  0.500  0.500  0.500

[6]
A crystal of NiWAu2 relaxed with PBEsol, computed with SCAN.

The excess energy over the best structure of this formula in the dataset is 113.1 meV/atom. For the mass density, the calculation gives 17.3 g/cm³. Its calculated formation energy is 0.50 eV per atom. As for the symmetry: Pmmm, No. 47.

Unit cell a=2.750 b=4.655 c=4.777 alpha=90.00 beta=90.00 gamma=90.00
Sites, in units of the cell vectors:
Ni  0.000  0.000  0.000
W  0.500  0.500  0.000
Au  0.000  0.500  0.500
Au  0.500  0.000  0.500

[7]
A crystal of Ni2WAu relaxed with PBEsol, computed with SCAN.

The excess energy over the best structure of this formula in the dataset is 299.7 meV/atom. For the mass density, the calculation gives 15.4 g/cm³. Its calculated formation energy is 0.35 eV per atom. As for the symmetry: F-43m, No. 216.

Unit cell a=5.992 b=5.992 c=5.992 alpha=90.00 beta=90.00 gamma=90.00
Sites, in units of the cell vectors:
Ni  0.000  0.000  0.000
Ni  0.000  0.500  0.500
Ni  0.250  0.250  0.250
Ni  0.250  0.750  0.750
Ni  0.500  0.000  0.500
Ni  0.500  0.500  0.000
Ni  0.750  0.250  0.750
Ni  0.750  0.750  0.250
W  0.000  0.000  0.500
W  0.000  0.500  0.000
W  0.500  0.000  0.000
W  0.500  0.500  0.500
Au  0.250  0.250  0.750
Au  0.250  0.750  0.250
Au  0.750  0.250  0.250
Au  0.750  0.750  0.750

[8]
A crystal of Ni2WAu relaxed with PBEsol, computed with SCAN.

The excess energy over the best structure of this formula in the dataset is 263.2 meV/atom. For the mass density, the calculation gives 15.2 g/cm³. Its calculated formation energy is 0.31 eV per atom. As for the symmetry: R3m, No. 160.

Unit cell a=2.712 b=2.712 c=25.640 alpha=90.00 beta=90.00 gamma=120.00
Sites, in units of the cell vectors:
Ni  0.000  0.000  0.000
Ni  0.000  0.000  0.259
Ni  0.333  0.667  0.667
Ni  0.333  0.667  0.926
Ni  0.667  0.333  0.333
Ni  0.667  0.333  0.592
W  0.000  0.000  0.513
W  0.333  0.667  0.180
W  0.667  0.333  0.846
Au  0.000  0.000  0.751
Au  0.333  0.667  0.418
Au  0.667  0.333  0.084